[1]
DFT (PBE-GGA) results for a relaxed RbZnReTe2 crystal.

Computed properties:
**Total moment**: 0.4 μB/cell
**Uncorrected formation energy**: 0.141 eV per atom
**E_tot**: -4.053 eV per atom

Lattice parameters (Å, degrees): 5.358 5.358 5.120 90.00 90.00 90.00
Space group P4/mmm (No. 123)
Unique sites:
Rb: 0.000 0.000 0.000 [1 per cell]
Zn: 0.500 0.500 0.000 [1 per cell]
Re: 0.500 0.500 0.500 [1 per cell]
Te: 0.000 0.500 0.500 [2 per cell]

---

[2]
DFT (PBE-GGA) results for a relaxed Rb2TiRe crystal.

Computed properties:
**Total moment**: 22.4 μB/cell
**E_tot**: -3.177 eV per atom
**DFT formation energy**: 2.393 eV per atom

Lattice parameters (Å, degrees): 8.317 8.317 8.317 90.00 90.00 90.00
Space group Fm-3m (No. 225)
Unique sites:
Rb: 0.250 0.250 0.250 [8 per cell]
Ti: 0.000 0.000 0.000 [4 per cell]
Re: 0.000 0.000 0.500 [4 per cell]

---

[3]
DFT (PBE-GGA) results for a relaxed Rb2TiRe crystal.

Computed properties:
**Total moment**: 0.0 μB/cell
**E_tot**: -4.119 eV per atom
**DFT formation energy**: 1.451 eV per atom

Lattice parameters (Å, degrees): 13.376 13.376 4.466 90.00 90.00 90.00
Space group I-42d (No. 122)
Unique sites:
Rb: 0.069 0.250 0.125 [8 per cell]
Ti: 0.000 0.000 0.500 [4 per cell]
Re: 0.000 0.000 0.000 [4 per cell]